PBE Ho3Ga7Ag2, optimized geometry; magnetic moment = 0.00 μB/cell; final energy = -3.811 eV per atom; D(E_F) = 0.491 states/eV per atom
1.0
4.215 0.000 0.000
0.000 4.206 -0.003
0.000 -2.097 13.665
Ga Ho Ag
7 3 2
direct
0.000 0.000 0.000 Ga
0.500 0.727 0.453 Ga
0.000 0.576 0.158 Ga
0.500 0.273 0.547 Ga
0.500 0.921 0.843 Ga
0.500 0.079 0.157 Ga
0.000 0.424 0.842 Ga
0.000 0.187 0.374 Ho
0.500 0.500 0.000 Ho
0.000 0.813 0.626 Ho
0.500 0.365 0.730 Ag
0.500 0.635 0.270 Ag

PBE Ho4Ga2Ag5, optimized geometry; magnetic moment = 0.00 μB/cell; final energy = -3.841 eV per atom; D(E_F) = 0.592 states/eV per atom
1.0
3.800 0.000 0.000
0.000 7.302 0.073
0.000 -0.615 8.890
Ag Ga Ho
5 2 4
direct
0.000 0.558 0.332 Ag
0.000 0.846 0.863 Ag
0.000 0.154 0.137 Ag
0.000 0.442 0.668 Ag
0.000 0.500 0.000 Ag
0.000 0.070 0.633 Ga
0.000 0.930 0.367 Ga
0.500 0.801 0.131 Ho
0.500 0.251 0.417 Ho
0.500 0.199 0.869 Ho
0.500 0.749 0.583 Ho

Formation enthalpy at 0 K / eV/atom: -0.43, -0.33